Material: ReBr2
Method: DFT, PBE
State: relaxed Values from VASP.

## Properties
Total energy   -14.15 eV/f.u.

```
&SYSTEM
  ibrav = 0, nat = 6, ntyp = 2
/
ATOMIC_SPECIES
Re 186.21 Re.upf
Br 79.90 Br.upf
CELL_PARAMETERS angstrom
5.811 0.000 0.000
0.000 5.811 0.000
0.000 0.000 3.973
ATOMIC_POSITIONS angstrom
Re 0.000 0.000 0.000
Re 2.905 2.905 1.986
Br 1.127 1.127 1.986
Br 1.779 4.032 0.000
Br 4.032 1.779 0.000
Br 4.684 4.684 1.986
```